{
  "formula": "MnBeP2",
  "functional": "PBE",
  "state": "optimized geometry",
  "lattice": [[2.886, 0.000, 0.000], [0.000, 2.886, 0.000], [0.000, 0.000, 6.374]],
  "species": ["Mn", "Be", "P", "P"],
  "fractional_positions": [[0.000, 0.000, 0.000], [0.500, 0.500, 0.813], [0.000, 0.000, 0.634], [0.500, 0.500, 0.169]],
  "formation_enthalpy_0k_ev_per_atom": -0.015,
  "magnetic_moment_mub_per_fu": 0.00,
  "spacegroup": "P4mm, No. 99"
}

***

{
  "formula": "MnBeP2",
  "functional": "PBE",
  "state": "optimized geometry",
  "lattice": [[-2.610, 2.610, 4.948], [2.610, -2.610, 4.948], [2.610, 2.610, -4.948]],
  "species": ["Mn", "Mn", "Be", "Be", "P", "P", "P", "P"],
  "fractional_positions": [[0.000, 0.000, 0.000], [0.750, 0.250, 0.500], [0.250, 0.750, 0.500], [0.500, 0.500, 0.000], [0.145, 0.625, 0.020], [0.375, 0.395, 0.520], [0.605, 0.125, 0.980], [0.875, 0.855, 0.480]],
  "formation_enthalpy_0k_ev_per_atom": -0.015,
  "magnetic_moment_mub_per_fu": 2.90,
  "spacegroup": "I-42d, No. 122"
}

***

{
  "formula": "MnBe2P",
  "functional": "PBE",
  "state": "optimized geometry",
  "lattice": [[1.305, 0.753, 7.248], [-1.305, 0.753, 7.248], [0.000, -1.507, 7.248]],
  "species": ["Mn", "Be", "Be", "P"],
  "fractional_positions": [[0.000, 0.000, 0.000], [0.249, 0.249, 0.249], [0.751, 0.751, 0.751], [0.500, 0.500, 0.500]],
  "formation_enthalpy_0k_ev_per_atom": 0.280,
  "magnetic_moment_mub_per_fu": 1.65,
  "spacegroup": "R-3m, No. 166"
}

***

Copy entry 2 word for word.
{
  "formula": "MnBeP2",
  "functional": "PBE",
  "state": "optimized geometry",
  "lattice": [[-2.610, 2.610, 4.948], [2.610, -2.610, 4.948], [2.610, 2.610, -4.948]],
  "species": ["Mn", "Mn", "Be", "Be", "P", "P", "P", "P"],
  "fractional_positions": [[0.000, 0.000, 0.000], [0.750, 0.250, 0.500], [0.250, 0.750, 0.500], [0.500, 0.500, 0.000], [0.145, 0.625, 0.020], [0.375, 0.395, 0.520], [0.605, 0.125, 0.980], [0.875, 0.855, 0.480]],
  "formation_enthalpy_0k_ev_per_atom": -0.015,
  "magnetic_moment_mub_per_fu": 2.90,
  "spacegroup": "I-42d, No. 122"
}